11
Lattice="-5.417 3.445 -0.519 -2.948 -4.452 -1.349 -0.773 -1.098 6.299" Properties=species:S:1:pos:R:3 comment="PBE Pu7Os2Rh2, relaxed" energy_ev_per_atom=-12.49 e_form_ev_per_atom=0.005 vol_a3_per_fu=227.6 pbc="T T T"
Pu -1.642 -1.397 3.067
Pu -5.251 -1.559 -0.733
Pu -7.496 -0.708 1.363
Pu -3.887 -0.546 5.163
Pu 0.000 0.000 0.000
Pu -5.406 -2.084 1.737
Pu -3.731 -0.021 2.693
Os -6.726 -0.234 4.229
Os -2.412 -1.870 0.201
Rh -5.165 1.153 0.681
Rh -3.972 -3.257 3.749

4
Lattice="3.968 0.000 0.000 0.000 4.047 0.000 0.000 0.000 4.047" Properties=species:S:1:pos:R:3 comment="PBE PuOs2Rh, relaxed" energy_ev_per_atom=-11.01 e_form_ev_per_atom=0.029 vol_a3_per_fu=65.0 pbc="T T T"
Rh 1.984 2.023 2.023
Os 0.000 0.000 2.023
Os 0.000 2.023 0.000
Pu 1.984 0.000 0.000

6
Lattice="4.660 -0.137 -2.435 -2.966 4.337 -0.233 -0.121 0.210 5.432" Properties=species:S:1:pos:R:3 comment="PBE Pu2Os3Rh, relaxed" energy_ev_per_atom=-11.81 e_form_ev_per_atom=-0.190 vol_a3_per_fu=108.0 pbc="T T T"
Pu 2.374 1.555 -1.222
Pu -0.801 2.855 3.987
Os 0.787 2.205 1.382
Os -0.060 0.105 2.716
Os 2.269 0.036 1.499
Rh 0.000 0.000 0.000